Density functional theory data (PBE) for DyVPd2 after structural relaxation.

calculated density	9.7	Mg/m³
energy of formation from the pure elements	-1.60	eV/f.u.
space group	P4/mmm
spin magnetization	3.1	μB per formula unit
N(E_F)	4.498	states/eV per cell

Structure (POSCAR):
```
DyVPd2
1.0
-0.2244 -3.0393 1.8649
3.3918 1.3852 2.6657
-2.9906 1.9378 2.7983
V Pd Dy
1 2 1
Cartesian
-0.1122 -1.5196 0.9324 V
-1.4953 0.9689 1.3991 Pd
1.6959 0.6926 1.3328 Pd
0.0884 0.1419 3.6644 Dy
```